The following is a DFT calculation (PBE) of a geometry-optimized Ba3ZnRh2 structure.

* Fermi-level density of states: 11.6 states/eV per cell
* total magnetic moment: 0.0 μB per cell
* electronic total energy: -3.873 eV per atom
* V: 771.6 Å³/cell
* ΔE_f: -1.49 eV/f.u.

Cell lengths 6.5786, 12.2441, 10.1229 Å; angles 90.00, 108.86, 90.00 degrees
Last column: nearest neighbours and their distance in Å.
Positions (direct):
Ba (0.2534, 0.9097, 0.9754)  4 Rh 3.17-3.39, 1 Zn 3.44
Ba (0.2466, 0.4097, 0.5246)  4 Rh 3.17-3.39, 1 Zn 3.44
Ba (0.7466, 0.0903, 0.0246)  4 Rh 3.17-3.39, 1 Zn 3.44
Ba (0.7534, 0.5903, 0.4754)  4 Rh 3.17-3.39, 1 Zn 3.44
Ba (0.3017, 0.5402, 0.0972)  3 Rh 3.05-3.25
Ba (0.1983, 0.0402, 0.4028)  3 Rh 3.05-3.25
Ba (0.6983, 0.4598, 0.9028)  3 Rh 3.05-3.25
Ba (0.8017, 0.9598, 0.5972)  3 Rh 3.05-3.25
Ba (0.8390, 0.7681, 0.1611)  2 Rh 3.04-3.19
Ba (0.6610, 0.2681, 0.3389)  2 Rh 3.04-3.19
Ba (0.1610, 0.2319, 0.8389)  2 Rh 3.04-3.19
Ba (0.3390, 0.7319, 0.6611)  2 Rh 3.04-3.19
Zn (0.4268, 0.8059, 0.3216)  2 Rh 2.50-2.51
Zn (0.0732, 0.3059, 0.1784)  2 Rh 2.50-2.51
Zn (0.5732, 0.1941, 0.6784)  2 Rh 2.50-2.51
Zn (0.9268, 0.6941, 0.8216)  2 Rh 2.50-2.51
Rh (0.5731, 0.9839, 0.2688)  1 Zn 2.51, 1 Rh 2.72
Rh (0.9269, 0.4839, 0.2312)  1 Zn 2.51, 1 Rh 2.72
Rh (0.4269, 0.0161, 0.7312)  1 Zn 2.51, 1 Rh 2.72
Rh (0.0731, 0.5161, 0.7688)  1 Zn 2.51, 1 Rh 2.72
Rh (0.2193, 0.6416, 0.3501)  1 Zn 2.50, 1 Rh 2.72
Rh (0.2807, 0.1416, 0.1499)  1 Zn 2.50, 1 Rh 2.72
Rh (0.7807, 0.3584, 0.6499)  1 Zn 2.50, 1 Rh 2.72
Rh (0.7193, 0.8584, 0.8501)  1 Zn 2.50, 1 Rh 2.72

***

The following is a DFT calculation (PBE) of a geometry-optimized GaAg3Au7 structure.

* Fermi-level density of states: 4.2 states/eV per cell
* total magnetic moment: 0.0 μB per cell
* electronic total energy: -3.090 eV per atom
* V: 214.4 Å³/cell
* ΔE_f: 0.54 eV/f.u.

Cell lengths 4.9393, 7.0542, 7.0542 Å; angles 90.72, 110.08, 110.08 degrees
Last column: nearest neighbours and their distance in Å.
Positions (direct):
Ga (0.5000, 0.5000, 0.5000)  4 Au 2.47-2.63
Ag (0.0000, 0.7771, 0.2229)  9 Au 2.78-2.90
Ag (0.5000, 0.0000, 0.0000)  8 Au 2.83-3.07
Ag (0.0000, 0.2229, 0.7771)  9 Au 2.78-2.90
Au (0.1748, 0.1960, 0.1960)  1 Ga 2.63, 3 Ag 2.81-2.93, 2 Au 2.84
Au (0.3315, 0.0749, 0.5897)  4 Ag 2.83-2.90, 4 Au 2.84-2.90, 1 Ga 2.96
Au (0.6685, 0.4103, 0.9251)  4 Ag 2.83-2.90, 4 Au 2.84-2.90, 1 Ga 2.96
Au (0.3315, 0.5897, 0.0749)  4 Ag 2.83-2.90, 4 Au 2.84-2.90, 1 Ga 2.96
Au (0.0000, 0.5000, 0.5000)  2 Ga 2.47
Au (0.6685, 0.9251, 0.4103)  4 Ag 2.83-2.90, 4 Au 2.84-2.90, 1 Ga 2.96
Au (0.8252, 0.8040, 0.8040)  1 Ga 2.63, 3 Ag 2.81-2.93, 2 Au 2.84

***

The following is a DFT calculation (PBE) of a geometry-optimized LiSmEuSb structure.

* Fermi-level density of states: 3.4 states/eV per cell
* total magnetic moment: 7.8 μB per cell
* electronic total energy: -5.753 eV per atom
* formation energy (no corrections): -495 meV per atom
* V: 110.1 Å³/cell

Cell lengths 5.3800, 5.3800, 5.3800 Å; angles 60.00, 60.00, 60.00 degrees
Last column: nearest neighbours and their distance in Å.
Positions (direct):
Eu (0.0000, 0.0000, 0.0000)  4 Sb 3.29, 4 Li 3.29
Sb (0.2500, 0.2500, 0.2500)  4 Sm 3.29, 4 Eu 3.29
Sm (0.5000, 0.5000, 0.5000)  4 Li 3.29, 4 Sb 3.29
Li (0.7500, 0.7500, 0.7500)  4 Eu 3.29, 4 Sm 3.29

***

The following is a DFT calculation (PBE) of a geometry-optimized VB structure.

* Fermi-level density of states: 1.1 states/eV per cell
* total magnetic moment: 0.0 μB per cell
* electronic total energy: -8.328 eV per atom
* V: 78.4 Å³/cell
* ΔE_f: -0.86 eV/f.u.

Cell lengths 4.2804, 4.2804, 4.2804 Å; angles 90.00, 90.00, 90.00 degrees
Last column: nearest neighbours and their distance in Å.
Positions (direct):
V (0.5000, 0.5000, 0.5000)  6 B 2.14
V (0.5000, 0.0000, 0.0000)  6 B 2.14
V (0.0000, 0.5000, 0.0000)  6 B 2.14
V (0.0000, 0.0000, 0.5000)  6 B 2.14
B (0.0000, 0.0000, 0.0000)  6 V 2.14
B (0.0000, 0.5000, 0.5000)  6 V 2.14
B (0.5000, 0.0000, 0.5000)  6 V 2.14
B (0.5000, 0.5000, 0.0000)  6 V 2.14

***

The following is a DFT calculation (PBE) of a geometry-optimized Er2MgPb8 structure.

* Fermi-level density of states: 6.4 states/eV per cell
* total magnetic moment: 0.0 μB per cell
* electronic total energy: -3.827 eV per atom
* V: 323.4 Å³/cell
* ΔE_f: -1.71 eV/f.u.

Cell lengths 4.8053, 4.8053, 14.0041 Å; angles 90.00, 90.00, 90.00 degrees
Last column: nearest neighbours and their distance in Å.
Positions (direct):
Er (0.0000, 0.0000, 0.3307)  12 Pb 3.38-3.57
Er (0.0000, 0.0000, 0.6693)  12 Pb 3.38-3.57
Mg (0.0000, 0.0000, 0.0000)  8 Pb 3.12
Pb (0.0000, 0.5000, 0.5000)  4 Er 3.38, 8 Pb 3.40-3.51
Pb (0.5000, 0.0000, 0.5000)  4 Er 3.38, 8 Pb 3.40-3.51
Pb (0.5000, 0.5000, 0.3176)  4 Er 3.40, 8 Pb 3.43-3.51
Pb (0.5000, 0.5000, 0.6824)  4 Er 3.40, 8 Pb 3.43-3.51
Pb (0.0000, 0.5000, 0.1426)  2 Mg 3.12, 6 Pb 3.40-3.43
Pb (0.5000, 0.0000, 0.1426)  2 Mg 3.12, 6 Pb 3.40-3.43
Pb (0.0000, 0.5000, 0.8574)  2 Mg 3.12, 6 Pb 3.40-3.43
Pb (0.5000, 0.0000, 0.8574)  2 Mg 3.12, 6 Pb 3.40-3.43

***

The following is a DFT calculation (PBE) of a geometry-optimized CsSi2W structure.

* Fermi-level density of states: 7.3 states/eV per cell
* total magnetic moment: 0.0 μB per cell
* electronic total energy: -5.605 eV per atom
* formation energy (no corrections): 559 meV per atom
* V: 295.8 Å³/cell

Cell lengths 6.6248, 6.6248, 8.2084 Å; angles 66.20, 66.20, 90.00 degrees
Last column: nearest neighbours and their distance in Å.
Positions (direct):
Cs (0.5000, 0.5000, 0.0000)  8 Si 4.07
Cs (0.2500, 0.7500, 0.5000)  8 Si 4.07
Si (0.8751, 0.1250, 0.2500)  2 W 2.36
Si (0.8749, 0.6250, 0.2500)  2 W 2.36
Si (0.3750, 0.1249, 0.7500)  2 W 2.36
Si (0.8750, 0.1251, 0.7500)  2 W 2.36
W (0.0000, 0.0000, 0.0000)  4 Si 2.36
W (0.7500, 0.2500, 0.5000)  4 Si 2.36